# 1
Density functional theory data (GGA-PBE) for K2PdSe2O8 after structural relaxation.

Cell lengths 5.0420, 6.0941, 7.4651 Å; angles 73.74, 84.87, 74.67 degrees
Element x y z (fractional)
O  0.2394  0.2795  0.3361
O  0.2044  0.4295  0.8337
O  0.7347  0.2279  0.4913
O  0.1087  0.8979  0.8302
O  0.8913  0.1021  0.1698
O  0.7606  0.7205  0.6639
O  0.7956  0.5705  0.1663
O  0.2653  0.7721  0.5087
Pd  0.5000  0.0000  0.5000
Se  0.0887  0.7072  0.7166
Se  0.9113  0.2928  0.2834
K  0.2673  0.7237  0.1708
K  0.7327  0.2763  0.8292

SG = P-1
Total DFT energy (no corrections) = -5.13 eV/atom


# 2
Density functional theory data (GGA-PBE) for K2TePdO6 after structural relaxation.

Cell lengths 5.6560, 5.6560, 5.6560 Å; angles 119.96, 119.96, 90.08 degrees
Element x y z (fractional)
Pd  0.5000  0.5000  0.0000
K  0.7500  0.2500  0.5000
K  0.2500  0.7500  0.5000
O  0.2439  0.2439  0.4877
O  0.2443  0.2443  0.0000
O  0.7557  0.7557  0.0000
O  0.7561  0.7561  0.5123
O  0.2439  0.7561  0.0000
O  0.7561  0.2439  0.0000
Te  0.0000  0.0000  0.0000

SG = I4/mmm
Total DFT energy (no corrections) = -4.90 eV/atom


# 3
Density functional theory data (GGA-PBE) for K2Pm2O5 after structural relaxation.

Cell lengths 9.0060, 4.4074, 4.4074 Å; angles 90.00, 90.00, 90.00 degrees
Element x y z (fractional)
O  0.5000  0.5000  0.5000
O  0.1974  0.0000  0.5000
O  0.8026  0.0000  0.5000
O  0.8026  0.5000  0.0000
O  0.1974  0.5000  0.0000
K  0.0000  0.0000  0.0000
K  0.5000  0.0000  0.0000
Pm  0.7429  0.5000  0.5000
Pm  0.2571  0.5000  0.5000

Offset from the most stable computed form = 0 meV/atom
SG = P4/mmm
Magnetization = 0.2227 μB per atom


# 4
Density functional theory data (GGA-PBE) for KPmO3 after structural relaxation.

Cell lengths 4.5239, 4.5239, 4.5577 Å; angles 90.00, 90.00, 90.00 degrees
Element x y z (fractional)
K  0.0000  0.0000  0.0288
O  0.5000  0.0000  0.6102
O  0.0000  0.5000  0.6102
O  0.5000  0.5000  0.0765
Pm  0.5000  0.5000  0.5743

SG = P4mm
Total DFT energy (no corrections) = -5.90 eV/atom
Magnetization = 0.3993 μB per atom